The following is a GGA-PBE calculation of a relaxed structure of PmZr2V, from Alexandria. Values from VASP.

Summary:
DFT formation energy = 0.79 eV/f.u.
energy above the most stable polymorph in this dataset = 0 meV per atom
SG = P4/mmm (123)

Structure (Quantum ESPRESSO input):
```
&SYSTEM
  ibrav = 0, nat = 4, ntyp = 3
/
ATOMIC_SPECIES
Pm 145.00 Pm.upf
Zr 91.22 Zr.upf
V 50.94 V.upf
ATOMIC_POSITIONS angstrom
Pm 0.000 0.000 0.000
Zr 1.684 1.684 2.484
Zr 1.684 1.684 5.621
V 0.000 0.000 4.053
CELL_PARAMETERS angstrom
3.369 0.000 0.000
0.000 3.369 0.000
0.000 0.000 8.105
```